Record 1
In2SbRh | PBE | optimized geometry

abc: 7.0308 7.0308 7.0308
angles: 90.00 90.00 90.00
Space group F-43m (No. 216)
Asymmetric unit:
In  0.0000  0.0000  0.0000
In  0.2500  0.2500  0.2500
Sb  0.2500  0.2500  0.7500
Rh  0.0000  0.0000  0.5000

**Total energy**: -4.11 eV/atom
**Total magnetic moment**: 0.00 μB per cell
**ρ**: 8.7 Mg/m³



Record 2
BaAlGeIr | PBE | optimized geometry

abc: 4.1329 4.1329 12.3943
angles: 90.00 90.00 90.00
Space group P4/nmm (No. 129, origin choice 2)
Asymmetric unit:
Ba  0.2500  0.2500  0.2467
Al  0.2500  0.7500  0.5000
Ge  0.2500  0.2500  0.8903
Ir  0.2500  0.7500  0.0000

**Total magnetic moment**: 0.00 μB per cell
**ρ**: 6.7 Mg/m³
**Energy of formation from the pure elements**: -350 meV per atom



Record 3
KCa2BiBr8 | PBE | optimized geometry

abc: 6.7404 9.0782 7.1038
angles: 90.00 90.34 90.00
Space group P2/m (No. 10)
Asymmetric unit:
K  0.0000  0.0000  0.0000
Ca  0.5000  0.2464  0.5000
Bi  0.0000  0.5000  0.0000
Br  0.2484  0.2754  0.1624
Br  0.2573  0.5000  0.6617
Br  0.2708  0.0000  0.6333

**Total energy**: -3.39 eV/atom
**Total magnetic moment**: 0.00 μB per cell
**ρ**: 3.7 Mg/m³



Record 4
Rb3CuH4 | PBE | optimized geometry

abc: 6.1237 8.5789 6.4131
angles: 90.00 90.00 90.00
Space group Imm2 (No. 44)
Asymmetric unit:
Rb  0.0000  0.0000  0.0000
Rb  0.0000  0.2403  0.4779
Cu  0.0000  0.5000  0.0273
H  0.0000  0.3334  0.8982
H  0.2149  0.5000  0.1867

**Total magnetic moment**: 0.00 μB per cell
**ρ**: 3.2 Mg/m³
**Energy above the lowest structure with this stoichiometry**: 0 meV per atom



Record 5
KNbInFeCu | PBE | optimized geometry

abc: 4.5100 4.5100 21.6926
angles: 90.00 90.00 120.00
Space group R3m (No. 160, hexagonal axes)
Asymmetric unit:
K  0.0000  0.0000  0.0000
Nb  0.0000  0.0000  0.4596
In  0.0000  0.0000  0.2017
Fe  0.0000  0.0000  0.5572
Cu  0.0000  0.0000  0.8204

**Total magnetic moment**: 4.75 μB per cell
**ρ**: 4.8 Mg/m³
**Energy above the lowest structure with this stoichiometry**: 277 meV per atom
**Energy of formation from the pure elements**: 595 meV per atom



Record 6
NaInH | PBE | optimized geometry

abc: 3.2182 3.2182 11.5639
angles: 90.00 90.00 90.00
Space group I4mm (No. 107)
Asymmetric unit:
Na  0.0000  0.0000  0.0000
In  0.0000  0.0000  0.2737
H  0.0000  0.0000  0.4530

**Total magnetic moment**: 0.00 μB per cell
**ρ**: 3.8 Mg/m³
**Energy above the lowest structure with this stoichiometry**: 0 meV per atom



Record 7
Rb2NiH | PBE | optimized geometry

abc: 8.0625 8.0625 8.0625
angles: 90.00 90.00 90.00
Space group Fm-3m (No. 225)
Asymmetric unit:
Rb  0.2500  0.2500  0.2500
Ni  0.0000  0.0000  0.0000
H  0.0000  0.0000  0.5000

**Total energy**: -2.12 eV/atom
**Total magnetic moment**: 3.99 μB per cell
**ρ**: 2.9 Mg/m³



Record 8
CaSn2Hg2 | PBE | optimized geometry

abc: 4.9793 4.9793 20.3942
angles: 90.00 90.00 120.00
Space group R-3m (No. 166, hexagonal axes)
Asymmetric unit:
Ca  0.0000  0.0000  0.0000
Sn  0.0000  0.0000  0.4289
Hg  0.0000  0.0000  0.2545

**Total magnetic moment**: 0.00 μB per cell
**ρ**: 7.7 Mg/m³
**Energy of formation from the pure elements**: -300 meV per atom



Record 9
U3NbTl4O12 | PBE | optimized geometry

abc: 8.5890 8.5890 8.5890
angles: 90.00 90.00 90.00
Space group Im-3m (No. 229)
Asymmetric unit:
U  0.0000  0.0000  0.5000
Nb  0.0000  0.0000  0.0000
Tl  0.2500  0.2500  0.2500
O  0.0000  0.0000  0.2402
O  0.0000  0.2500  0.5000

**Total energy**: -8.01 eV/atom
**Total magnetic moment**: 6.05 μB per cell
**ρ**: 9.5 Mg/m³



Record 10
AlVPd6 | PBE | optimized geometry

abc: 3.8999 3.8999 7.7859
angles: 90.00 90.00 90.00
Space group P4/mmm (No. 123)
Asymmetric unit:
Al  0.0000  0.0000  0.0000
V  0.0000  0.0000  0.5000
Pd  0.0000  0.5000  0.2537
Pd  0.5000  0.5000  0.0000
Pd  0.5000  0.5000  0.5000

**Total magnetic moment**: 0.57 μB per cell
**ρ**: 10.0 Mg/m³
**Energy above the lowest structure with this stoichiometry**: 0 meV per atom
**Energy of formation from the pure elements**: -445 meV per atom



Record 11
Cs6HgAu3 | PBE | optimized geometry

abc: 12.9342 5.1352 18.2289
angles: 90.00 109.34 90.00
Space group P2_1/m (No. 11)
Asymmetric unit:
Cs  0.0158  0.2500  0.1664
Cs  0.0897  0.7500  0.6125
Cs  0.2509  0.7500  0.0888
Cs  0.2954  0.7500  0.4201
Cs  0.3491  0.2500  0.9180
Cs  0.4196  0.2500  0.6961
Hg  0.3491  0.2500  0.2578
Au  0.0524  0.2500  0.9802
Au  0.1873  0.2500  0.5148
Au  0.4779  0.2500  0.1476

**Total magnetic moment**: 0.00 μB per cell
**ρ**: 4.6 Mg/m³
**Energy of formation from the pure elements**: -248 meV per atom



Record 12
Nd3CoCl3 | PBE | optimized geometry

abc: 11.5993 11.5993 11.5993
angles: 90.00 90.00 90.00
Space group I4_132 (No. 214)
Asymmetric unit:
Nd  0.1114  0.3614  0.1250
Co  0.1250  0.1250  0.1250
Cl  0.1221  0.1279  0.6250

**Total energy**: -5.24 eV/atom
**Total magnetic moment**: 0.00 μB per cell
**ρ**: 5.1 Mg/m³



Q: Which value of ρ does entry 12 give?
A: 5.1 Mg/m³



Q: Among the records above, which one has the lowest ρ?
A: Rb2NiH



Q: Which formula does entry 7 have?
A: Rb2NiH